Material: TlCdOs3
Method: DFT, PBE-GGA
State: relaxed

```
5
Lattice="4.8885 0.0000 0.0000 0.0000 4.8885 0.0000 0.0000 0.0000 4.8885" Properties=species:S:1:pos:R:3 pbc="T T T"
Tl 0.0000 0.0000 0.0000
Cd 2.4443 2.4443 2.4443
Os 0.0000 2.4443 2.4443
Os 2.4443 0.0000 2.4443
Os 2.4443 2.4443 0.0000
```

* DOS(E_F): 6.29 states/eV/cell
* polymorph energy (0 for the lowest one): 0.0 meV per atom

=====

Material: La2Sm4Sc
Method: DFT, PBE-GGA
State: relaxed

```
14
Lattice="6.2094 0.0000 0.0000 0.0000 6.6442 0.0000 -3.0085 0.0000 11.3038" Properties=species:S:1:pos:R:3 pbc="T T T"
La -0.7749 1.6610 5.6142
La 1.1166 1.6610 0.8894
La 2.0843 4.9831 10.4145
La 3.9759 4.9831 5.6896
Sm -1.4536 0.0583 8.8609
Sm -1.4536 3.2638 8.8609
Sm 2.0373 4.9831 0.6259
Sm 0.9920 4.9831 7.1073
Sm 2.2090 1.6610 4.1965
Sm 1.1637 1.6610 10.6779
Sm 4.6545 3.3803 2.4429
Sm 4.6545 6.5859 2.4429
Sc 1.2021 4.9831 3.7725
Sc 1.9989 1.6610 7.5314
```

* DOS(E_F): 23.37 states/eV/cell
* polymorph energy (0 for the lowest one): 11.6 meV per atom

=====

Material: TlCdTe2N
Method: DFT, PBE-GGA
State: relaxed

```
5
Lattice="5.9827 0.0000 0.0000 0.0000 5.9827 0.0000 0.0000 0.0000 4.2512" Properties=species:S:1:pos:R:3 pbc="T T T"
Tl 0.0000 0.0000 0.0000
Cd 2.9913 2.9913 2.1256
Te 0.0000 2.9913 0.0000
Te 2.9913 0.0000 0.0000
N 0.0000 0.0000 2.1256
```

* DOS(E_F): 4.29 states/eV/cell
* E_form (uncorrected): 1.0509 eV/atom
* polymorph energy (0 for the lowest one): 254.1 meV per atom

=====

Material: NbPN2O
Method: DFT, PBE-GGA
State: relaxed

```
5
Lattice="4.1625 0.0000 0.0000 0.0000 4.1625 0.0000 0.0000 0.0000 3.8484" Properties=species:S:1:pos:R:3 pbc="T T T"
Nb 0.0000 0.0000 0.0000
P 2.0813 2.0813 1.9242
N 0.0000 2.0813 0.0000
N 2.0813 0.0000 0.0000
O 0.0000 0.0000 1.9242
```

* DOS(E_F): 2.64 states/eV/cell
* E_form (uncorrected): 0.3440 eV/atom

=====

Material: LaSm2Os
Method: DFT, PBE-GGA
State: relaxed

```
4
Lattice="1.9248 1.1113 10.6941 -1.9248 1.1113 10.6941 0.0000 -2.2226 10.6941" Properties=species:S:1:pos:R:3 pbc="T T T"
La 0.0000 0.0000 0.0000
Sm 0.0000 0.0000 3.6733
Sm 0.0000 0.0000 28.4091
Os 0.0000 0.0000 16.0412
```

* DOS(E_F): 5.59 states/eV/cell
* polymorph energy (0 for the lowest one): 451.5 meV per atom

=====

Material: Sm2TmPt
Method: DFT, PBE-GGA
State: relaxed

```
4
Lattice="1.8694 1.0793 10.5927 -1.8694 1.0793 10.5927 0.0000 -2.1586 10.5927" Properties=species:S:1:pos:R:3 pbc="T T T"
Sm 0.0000 0.0000 3.4395
Sm 0.0000 0.0000 28.3387
Tm 0.0000 0.0000 0.0000
Pt 0.0000 0.0000 15.8891
```

* DOS(E_F): 5.41 states/eV/cell
* polymorph energy (0 for the lowest one): 446.3 meV per atom

=====

Material: Mn2NbIrN
Method: DFT, PBE-GGA
State: relaxed

```
5
Lattice="3.8887 0.0000 0.0000 0.0000 3.8887 0.0000 0.0000 0.0000 4.2230" Properties=species:S:1:pos:R:3 pbc="T T T"
Mn 0.0000 1.9443 0.0000
Mn 1.9443 0.0000 0.0000
Nb 0.0000 0.0000 2.1115
Ir 1.9443 1.9443 2.1115
N 0.0000 0.0000 0.0000
```

* DOS(E_F): 4.16 states/eV/cell
* E_form (uncorrected): -0.3798 eV/atom

=====

Material: CdBi3Pb6
Method: DFT, PBE-GGA
State: relaxed

```
20
Lattice="9.2182 0.0000 0.0000 0.0000 5.8203 0.0000 -3.6096 0.0000 11.5958" Properties=species:S:1:pos:R:3 pbc="T T T"
Cd 0.7339 1.4551 0.7509
Cd 4.8747 4.3653 10.8448
Bi -1.9194 4.3653 8.5249
Bi 0.7577 4.3653 6.3006
Bi -0.1872 1.4551 10.0995
Bi 5.7958 4.3653 1.4962
Bi 4.8509 1.4551 5.2952
Bi 7.5280 1.4551 3.0708
Pb 0.0158 4.3653 2.3963
Pb -1.1497 1.4551 6.7115
Pb 2.6032 4.3653 0.1948
Pb 1.3824 1.4551 4.2903
Pb 3.2792 4.3653 3.8987
Pb 3.9132 1.4551 1.9873
Pb 1.6953 4.3653 9.6084
Pb 2.3294 1.4551 7.6970
Pb 4.2261 4.3653 7.3055
Pb 3.0054 1.4551 11.4010
Pb 6.7583 4.3653 4.8842
Pb 5.5928 1.4551 9.1994
```

* DOS(E_F): 9.39 states/eV/cell
* polymorph energy (0 for the lowest one): 0.0 meV per atom

=====

Material: Y3Er2S6
Method: DFT, PBE-GGA
State: relaxed

```
11
Lattice="3.3763 -5.8264 0.0000 3.3763 5.8264 0.0000 -2.2434 0.0000 6.3222" Properties=species:S:1:pos:R:3 pbc="T T T"
Y 0.0000 0.0000 0.0000
Y 3.3763 1.8941 0.0000
Y 3.3763 -1.8941 0.0000
Er 2.2546 3.8962 3.1611
Er 2.2546 -3.8962 3.1611
S 1.1222 1.9516 1.5976
S 0.0084 0.0000 4.6907
S 1.1222 -1.9516 1.5976
S 3.3870 1.9516 4.7246
S 4.5009 0.0000 1.6315
S 3.3870 -1.9516 4.7246
```

* DOS(E_F): 4.14 states/eV/cell
* E_form (uncorrected): -2.0690 eV/atom

=====

Material: ZrCoRu2
Method: DFT, PBE-GGA
State: relaxed

```
4
Lattice="-1.5755 2.2671 4.2907 1.5755 -2.2671 4.2907 1.5755 2.2671 -4.2907" Properties=species:S:1:pos:R:3 pbc="T T T"
Zr 0.0000 0.0000 0.0000
Co 0.0000 0.0000 4.2907
Ru 1.5755 0.0000 2.2071
Ru 0.0000 2.2671 2.0836
```

* DOS(E_F): 5.00 states/eV/cell
* polymorph energy (0 for the lowest one): 173.5 meV per atom